KTi2Mn2O7, optimized geometry, DFT PBE+U; spin magnetization = 0.750 μB/atom; raw total energy = -7.893 eV/atom
1.0
-1.960 7.997 2.585
1.960 -7.997 2.585
1.960 7.997 -2.585
K Ti Mn O
1 2 2 7
Cartesian
0.000 0.000 0.000 K
1.960 -1.798 2.540 Ti
1.960 1.798 2.540 Ti
1.960 3.906 -0.352 Mn
0.000 4.091 2.232 Mn
1.960 -3.734 1.901 O
1.960 5.945 -0.408 O
1.960 0.000 2.039 O
0.000 2.052 2.177 O
1.960 3.734 1.901 O
0.000 6.062 1.721 O
0.000 9.932 1.721 O